LiZnMo2 PBE optimized geometry; spin magnetization = 0.000 μB/cell; energy of formation = 0.24 eV per atom
1.0
5.086 -0.001 0.000
-2.492 4.434 0.000
0.000 0.000 2.624
Zn Li Mo
1 1 2
Cartesian
2.543 -0.001 1.312
-1.246 2.217 1.312
1.297 2.217 0.000
0.000 0.000 0.000